First-principles (GGA-PBE) data for Ca2TaSb after structural relaxation, as listed in Alexandria via LeMat-Bulk.

Its theoretical density is 6.1 g cm⁻³. The calculated total energy comes out at -4.796 eV/atom. The value obtained for the formation energy without anion corrections is 199 meV/atom. Its density of states at the Fermi level is 7.14 states/eV/cell. The value obtained for the volume is 311.6 Å³ per cell.

It has space group R-3m (No. 166, hexagonal axes), with a = 3.3793 Å, b = 3.3793 Å, c = 31.5043 Å, α = 90.00°, β = 90.00° and γ = 120.00°. The distinct sites, in fractional coordinates, are Ca at (0.0000, 0.0000, 0.2490), Ta at (0.0000, 0.0000, 0.5000) and Sb at (0.0000, 0.0000, 0.0000).